Entry 1:
# MgP2Rh, relaxed, DFT PBE
# Calculated total energy ... -20.587 eV/cell
# Total moment ... 0.00 Bohr magnetons per cell
# Calculated volume ... 15.10 A^3/atom
# DOS at the Fermi energy ... 1.1 states/eV/cell
data_MgP2Rh
_symmetry_space_group_name_H-M 'P 1'
_symmetry_Int_Tables_number 1
_cell_length_a 3.015
_cell_length_b 3.015
_cell_length_c 6.643
_cell_angle_alpha 90.00
_cell_angle_beta 90.00
_cell_angle_gamma 90.00
loop_
_symmetry_equiv_pos_as_xyz
'x,y,z'
loop_
_atom_site_label
_atom_site_fract_x
_atom_site_fract_y
_atom_site_fract_z
Mg1 0.500 0.500 0.750
P1 0.000 0.000 0.029
P2 0.000 0.000 0.471
Rh1 0.500 0.500 0.250



Entry 2:
# Mg4PRh6, relaxed, DFT PBE
# Calculated total energy ... -58.319 eV/cell
# Total moment ... 0.00 Bohr magnetons per cell
# Calculated volume ... 15.76 A^3/atom
# DOS at the Fermi energy ... 12.1 states/eV/cell
data_Mg4PRh6
_symmetry_space_group_name_H-M 'P 1'
_symmetry_Int_Tables_number 1
_cell_length_a 8.367
_cell_length_b 8.367
_cell_length_c 2.857
_cell_angle_alpha 90.00
_cell_angle_beta 90.00
_cell_angle_gamma 119.94
loop_
_symmetry_equiv_pos_as_xyz
'x,y,z'
loop_
_atom_site_label
_atom_site_fract_x
_atom_site_fract_y
_atom_site_fract_z
Mg1 0.333 0.667 0.000
Mg2 0.790 0.210 0.500
Mg3 0.790 0.580 0.500
Mg4 0.420 0.210 0.500
P1 0.000 0.000 0.000
Rh1 0.498 0.502 0.000
Rh2 0.499 0.997 0.000
Rh3 0.003 0.501 0.000
Rh4 0.130 0.870 0.500
Rh5 0.130 0.260 0.500
Rh6 0.740 0.870 0.500



Entry 3:
# MgP2Rh, relaxed, DFT PBE
# Calculated total energy ... -21.470 eV/cell
# Total moment ... 0.00 Bohr magnetons per cell
# Calculated volume ... 16.92 A^3/atom
# DOS at the Fermi energy ... 1.4 states/eV/cell
data_MgP2Rh
_symmetry_space_group_name_H-M 'P 1'
_symmetry_Int_Tables_number 1
_cell_length_a 3.914
_cell_length_b 3.686
_cell_length_c 4.690
_cell_angle_alpha 90.18
_cell_angle_beta 90.00
_cell_angle_gamma 90.00
loop_
_symmetry_equiv_pos_as_xyz
'x,y,z'
loop_
_atom_site_label
_atom_site_fract_x
_atom_site_fract_y
_atom_site_fract_z
Mg1 0.500 0.750 0.750
P1 0.000 0.252 0.977
P2 0.000 0.248 0.523
Rh1 0.500 0.250 0.250



Entry 4:
# MgP2Rh, relaxed, DFT PBE
# Calculated total energy ... -41.504 eV/cell
# Total moment ... 0.00 Bohr magnetons per cell
# Calculated volume ... 21.32 A^3/atom
# DOS at the Fermi energy ... 3.6 states/eV/cell
data_MgP2Rh
_symmetry_space_group_name_H-M 'P 1'
_symmetry_Int_Tables_number 1
_cell_length_a 5.673
_cell_length_b 5.673
_cell_length_c 6.646
_cell_angle_alpha 64.73
_cell_angle_beta 64.73
_cell_angle_gamma 90.00
loop_
_symmetry_equiv_pos_as_xyz
'x,y,z'
loop_
_atom_site_label
_atom_site_fract_x
_atom_site_fract_y
_atom_site_fract_z
P1 0.673 0.125 0.250
P2 0.077 0.625 0.250
P3 0.375 0.327 0.750
P4 0.875 0.923 0.750
Mg1 0.500 0.500 0.000
Mg2 0.250 0.750 0.500
Rh1 0.000 0.000 0.000
Rh2 0.750 0.250 0.500



Entry 5:
# Mg3P4Rh7, relaxed, DFT PBE
# Calculated total energy ... -87.843 eV/cell
# Total moment ... 0.00 Bohr magnetons per cell
# Calculated volume ... 14.79 A^3/atom
# DOS at the Fermi energy ... 6.7 states/eV/cell
data_Mg3P4Rh7
_symmetry_space_group_name_H-M 'P 1'
_symmetry_Int_Tables_number 1
_cell_length_a 3.876
_cell_length_b 7.682
_cell_length_c 7.863
_cell_angle_alpha 68.05
_cell_angle_beta 75.73
_cell_angle_gamma 75.39
loop_
_symmetry_equiv_pos_as_xyz
'x,y,z'
loop_
_atom_site_label
_atom_site_fract_x
_atom_site_fract_y
_atom_site_fract_z
Mg1 0.341 0.164 0.155
Mg2 0.659 0.836 0.845
Mg3 0.000 0.500 0.500
P1 0.669 0.437 0.226
P2 0.331 0.563 0.774
P3 0.893 0.882 0.333
P4 0.107 0.118 0.667
Rh1 0.293 0.857 0.557
Rh2 0.493 0.255 0.759
Rh3 0.831 0.419 0.920
Rh4 0.707 0.143 0.443
Rh5 0.169 0.581 0.080
Rh6 0.000 0.000 0.000
Rh7 0.507 0.745 0.241



Entry 6:
# MgP2Rh, relaxed, DFT PBE
# Calculated total energy ... -20.949 eV/cell
# Total moment ... 0.00 Bohr magnetons per cell
# Calculated volume ... 16.42 A^3/atom
# DOS at the Fermi energy ... 1.2 states/eV/cell
data_MgP2Rh
_symmetry_space_group_name_H-M 'P 1'
_symmetry_Int_Tables_number 1
_cell_length_a 4.208
_cell_length_b 3.846
_cell_length_c 4.509
_cell_angle_alpha 64.14
_cell_angle_beta 90.00
_cell_angle_gamma 90.00
loop_
_symmetry_equiv_pos_as_xyz
'x,y,z'
loop_
_atom_site_label
_atom_site_fract_x
_atom_site_fract_y
_atom_site_fract_z
Mg1 0.500 0.757 0.643
P1 0.000 0.975 0.118
P2 0.500 0.485 0.232
Rh1 0.000 0.283 0.507